No. 1
The following is a PBE calculation of a relaxed CsDyZnO3 crystal, from Alexandria.

abc: 8.2155 3.5855 8.5308
angles: 90.00 109.63 90.00
Fractional positions:
1 Cs 0.2146 0.2500 0.2295
2 Cs 0.7854 0.7500 0.7705
3 Dy 0.3416 0.7500 0.8599
4 Dy 0.6584 0.2500 0.1401
5 Zn 0.0773 0.2500 0.6179
6 Zn 0.9227 0.7500 0.3821
7 O 0.1575 0.2500 0.8576
8 O 0.1629 0.7500 0.5559
9 O 0.4780 0.7500 0.1316
10 O 0.5220 0.2500 0.8684
11 O 0.8371 0.2500 0.4441
12 O 0.8425 0.7500 0.1424

Results
Raw formation energy: -2219 meV per atom
Symmetry: P2_1/m
Uncorrected energy: -69.838 eV/cell

No. 2
The following is a PBE calculation of a relaxed Cs2DyP2S6 crystal, from Alexandria.

abc: 7.0996 7.0996 8.1386
angles: 114.42 114.42 59.64
Fractional positions:
1 Cs 0.2210 0.2210 0.1952
2 Cs 0.7790 0.7790 0.8048
3 Dy 0.0000 0.0000 0.5000
4 P 0.4426 0.4426 0.8168
5 P 0.5574 0.5574 0.1832
6 S 0.2366 0.7198 0.2281
7 S 0.2483 0.2483 0.6500
8 S 0.2802 0.7634 0.7719
9 S 0.7198 0.2366 0.2281
10 S 0.7517 0.7517 0.3500
11 S 0.7634 0.2802 0.7719

Results
Raw formation energy: -887 meV per atom
Symmetry: C2/m
Uncorrected energy: -51.652 eV/cell